No. 1
TmUCoOs: relaxed, PBE.

abc: 4.7303 4.7303 4.7303
angles: 60.00 60.00 60.00
Closest atoms and distances in Å follow each position.
Sites, in units of the cell vectors:
Co1 0.5000 0.5000 0.5000  4 U 2.90, 4 Tm 2.90
Tm1 0.2500 0.2500 0.2500  4 Co 2.90, 4 Os 2.90
U1 0.7500 0.7500 0.7500  4 Co 2.90, 4 Os 2.90
Os1 0.0000 0.0000 0.0000  4 Tm 2.90, 4 U 2.90

Computed properties:
formation enthalpy at 0 K = -0.37 eV/f.u.
mass density = 14.56 g/cm³
energy = -8.6157 eV per atom
SG = F-43m (216)


No. 2
YTmCoOs: relaxed, PBE.

abc: 4.7529 4.7529 4.7529
angles: 60.00 60.00 60.00
Closest atoms and distances in Å follow each position.
Sites, in units of the cell vectors:
Os1 0.0000 0.0000 0.0000  4 Tm 2.91, 4 Y 2.91
Tm1 0.2500 0.2500 0.2500  4 Co 2.91, 4 Os 2.91
Co1 0.5000 0.5000 0.5000  4 Tm 2.91, 4 Y 2.91
Y1 0.7500 0.7500 0.7500  4 Os 2.91, 4 Co 2.91

Computed properties:
formation enthalpy at 0 K = -0.58 eV/f.u.
mass density = 11.09 g/cm³
energy = -7.4630 eV per atom
SG = F-43m (216)


> What is the formula in the second record?

YTmCoOs